(1)
CaAc2HoTe4 after structural relaxation, computed with PBE-GGA.

Unit cell a=7.8172 b=4.4988 c=8.1096 alpha=90.00 beta=108.53 gamma=90.00
Element x y z (fractional)
Ca (0.0000, 0.0000, 0.0000)
Ac (0.0000, 0.5000, 0.5000)
Ac (0.5000, 0.0000, 0.5000)
Ho (0.5000, 0.5000, 0.0000)
Te (0.2456, 0.5000, 0.2259)
Te (0.2614, 0.0000, 0.7765)
Te (0.7386, 0.0000, 0.2235)
Te (0.7544, 0.5000, 0.7741)

Computed properties:
M_tot = 0.0 μB/f.u.
density of states at the Fermi level = 4.4 states/eV/f.u.
calculated volume = 33.80 Å³/atom


(2)
LiTa2In after structural relaxation, computed with PBE-GGA.

Unit cell a=2.8689 b=2.8689 c=9.1964 alpha=90.00 beta=90.00 gamma=90.00
Element x y z (fractional)
Li (0.0000, 0.0000, 0.0000)
Ta (0.0000, 0.0000, 0.5067)
Ta (0.5000, 0.5000, 0.2657)
In (0.5000, 0.5000, 0.7657)

Computed properties:
ΔH_f (0 K) = 150 meV per atom
M_tot = 0.0 μB/f.u.
density of states at the Fermi level = 3.1 states/eV/f.u.
calculated volume = 18.92 Å³/atom


(3)
MnMoIr2 after structural relaxation, computed with PBE-GGA.

Unit cell a=5.4060 b=5.4169 c=7.7435 alpha=90.00 beta=90.00 gamma=90.00
Element x y z (fractional)
Mn (0.0000, 0.0000, 0.0000)
Mn (0.0000, 0.5000, 0.5000)
Mn (0.5000, 0.0000, 0.5000)
Mn (0.5000, 0.5000, 0.0000)
Mo (0.2500, 0.2500, 0.7500)
Mo (0.2500, 0.7500, 0.2500)
Mo (0.7500, 0.2500, 0.2500)
Mo (0.7500, 0.7500, 0.7500)
Ir (0.0000, 0.0000, 0.5000)
Ir (0.0000, 0.5000, 0.0000)
Ir (0.2500, 0.2500, 0.2500)
Ir (0.2500, 0.7500, 0.7500)
Ir (0.5000, 0.0000, 0.0000)
Ir (0.5000, 0.5000, 0.5000)
Ir (0.7500, 0.2500, 0.7500)
Ir (0.7500, 0.7500, 0.2500)

Computed properties:
ΔH_f (0 K) = -180 meV per atom
M_tot = 1.5 μB/f.u.
energy relative to the lowest polymorph listed for this composition = 74 meV/atom
density of states at the Fermi level = 3.7 states/eV/f.u.
calculated volume = 14.17 Å³/atom


(4)
SrInTc2 after structural relaxation, computed with PBE-GGA.

Unit cell a=6.1918 b=9.2992 c=2.7667 alpha=90.00 beta=90.00 gamma=90.00
Element x y z (fractional)
Sr (0.0000, 0.0000, 0.0000)
Sr (0.5000, 0.5000, 0.0000)
In (0.0000, 0.5000, 0.0000)
In (0.5000, 0.0000, 0.0000)
Tc (0.2500, 0.2500, 0.5000)
Tc (0.2500, 0.7500, 0.5000)
Tc (0.7500, 0.2500, 0.5000)
Tc (0.7500, 0.7500, 0.5000)

Computed properties:
ΔH_f (0 K) = 895 meV per atom
M_tot = 0.0 μB/f.u.
density of states at the Fermi level = 5.5 states/eV/f.u.
calculated volume = 19.91 Å³/atom


(5)
ZrScInRe after structural relaxation, computed with PBE-GGA.

Unit cell a=6.7954 b=6.7954 c=6.7954 alpha=90.00 beta=90.00 gamma=90.00
Element x y z (fractional)
Zr (0.0000, 0.0000, 0.0000)
Zr (0.0000, 0.5000, 0.5000)
Zr (0.5000, 0.0000, 0.5000)
Zr (0.5000, 0.5000, 0.0000)
Sc (0.0000, 0.0000, 0.5000)
Sc (0.0000, 0.5000, 0.0000)
Sc (0.5000, 0.0000, 0.0000)
Sc (0.5000, 0.5000, 0.5000)
In (0.2500, 0.2500, 0.7500)
In (0.2500, 0.7500, 0.2500)
In (0.7500, 0.2500, 0.2500)
In (0.7500, 0.7500, 0.7500)
Re (0.2500, 0.2500, 0.2500)
Re (0.2500, 0.7500, 0.7500)
Re (0.7500, 0.2500, 0.7500)
Re (0.7500, 0.7500, 0.2500)

Computed properties:
ΔH_f (0 K) = -203 meV per atom
M_tot = 0.0 μB/f.u.
density of states at the Fermi level = 2.4 states/eV/f.u.
calculated volume = 19.61 Å³/atom


(6)
La3Pm3Tl2In after structural relaxation, computed with PBE-GGA.

Unit cell a=9.3164 b=9.3164 c=3.8601 alpha=90.00 beta=90.00 gamma=120.00
Element x y z (fractional)
La (0.0000, 0.7138, 0.0000)
La (0.2862, 0.2862, 0.0000)
La (0.7138, 0.0000, 0.0000)
Pm (0.0000, 0.3864, 0.5000)
Pm (0.3864, 0.0000, 0.5000)
Pm (0.6136, 0.6136, 0.5000)
Tl (0.3333, 0.6667, 0.0000)
Tl (0.6667, 0.3333, 0.0000)
In (0.0000, 0.0000, 0.5000)

Computed properties:
ΔH_f (0 K) = -280 meV per atom
M_tot = 0.0 μB/f.u.
density of states at the Fermi level = 8.6 states/eV/f.u.
calculated volume = 32.24 Å³/atom


(7)
Cs2Pu2Se5 after structural relaxation, computed with PBE-GGA.

Unit cell a=9.6924 b=9.6924 c=8.0025 alpha=90.00 beta=90.00 gamma=48.72
Element x y z (fractional)
Cs (0.2058, 0.2058, 0.0000)
Cs (0.2942, 0.2942, 0.5000)
Cs (0.7058, 0.7058, 0.5000)
Cs (0.7942, 0.7942, 0.0000)
Pu (0.1647, 0.8353, 0.6645)
Pu (0.3353, 0.6647, 0.1645)
Pu (0.6647, 0.3353, 0.8355)
Pu (0.8353, 0.1647, 0.3355)
Se (0.0000, 0.0000, 0.0000)
Se (0.0398, 0.7550, 0.3577)
Se (0.2450, 0.9602, 0.3577)
Se (0.2550, 0.5398, 0.8577)
Se (0.4602, 0.7450, 0.8577)
Se (0.5000, 0.5000, 0.5000)
Se (0.5398, 0.2550, 0.1423)
Se (0.7450, 0.4602, 0.1423)
Se (0.7550, 0.0398, 0.6423)
Se (0.9602, 0.2450, 0.6423)

Computed properties:
M_tot = 8.0 μB/f.u.
density of states at the Fermi level = 15.5 states/eV/f.u.
calculated volume = 31.39 Å³/atom


(8)
HfPbO3 after structural relaxation, computed with PBE-GGA.

Unit cell a=5.8531 b=8.2664 c=5.8442 alpha=90.00 beta=90.00 gamma=90.00
Element x y z (fractional)
Hf (0.0000, 0.0000, 0.0000)
Hf (0.0000, 0.5000, 0.0000)
Hf (0.5000, 0.0000, 0.5000)
Hf (0.5000, 0.5000, 0.5000)
Pb (0.0148, 0.2500, 0.4952)
Pb (0.4852, 0.7500, 0.9952)
Pb (0.5148, 0.2500, 0.0048)
Pb (0.9852, 0.7500, 0.5048)
O (0.0081, 0.7500, 0.0616)
O (0.2202, 0.5323, 0.7200)
O (0.2202, 0.9677, 0.7200)
O (0.2798, 0.0323, 0.2200)
O (0.2798, 0.4677, 0.2200)
O (0.4919, 0.2500, 0.5616)
O (0.5081, 0.7500, 0.4384)
O (0.7202, 0.5323, 0.7800)
O (0.7202, 0.9677, 0.7800)
O (0.7798, 0.0323, 0.2800)
O (0.7798, 0.4677, 0.2800)
O (0.9919, 0.2500, 0.9384)

Computed properties:
M_tot = 0.0 μB/f.u.
density of states at the Fermi level = 0.0 states/eV/f.u.
calculated volume = 14.14 Å³/atom


(9)
In2ReSb after structural relaxation, computed with PBE-GGA.

Unit cell a=6.3410 b=8.7978 c=3.0241 alpha=90.00 beta=90.00 gamma=90.00
Element x y z (fractional)
In (0.2500, 0.2500, 0.0000)
In (0.2500, 0.7500, 0.0000)
In (0.7500, 0.2500, 0.0000)
In (0.7500, 0.7500, 0.0000)
Re (0.0000, 0.0000, 0.5000)
Re (0.5000, 0.5000, 0.5000)
Sb (0.0000, 0.5000, 0.5000)
Sb (0.5000, 0.0000, 0.5000)

Computed properties:
M_tot = 0.0 μB/f.u.
density of states at the Fermi level = 3.1 states/eV/f.u.
calculated volume = 21.09 Å³/atom


(10)
Si2AsC2 after structural relaxation, computed with PBE-GGA.

Unit cell a=3.8944 b=3.8944 c=7.6747 alpha=90.00 beta=90.00 gamma=90.00
Element x y z (fractional)
Si (0.0000, 0.0000, 0.1653)
Si (0.0000, 0.0000, 0.8347)
Si (0.5000, 0.5000, 0.3347)
Si (0.5000, 0.5000, 0.6653)
As (0.0000, 0.0000, 0.5000)
As (0.5000, 0.5000, 0.0000)
C (0.0000, 0.5000, 0.2500)
C (0.0000, 0.5000, 0.7500)
C (0.5000, 0.0000, 0.2500)
C (0.5000, 0.0000, 0.7500)

Computed properties:
M_tot = 0.0 μB/f.u.
density of states at the Fermi level = 2.5 states/eV/f.u.
calculated volume = 11.64 Å³/atom


(11)
SmY3Th2As6 after structural relaxation, computed with PBE-GGA.

Unit cell a=9.3480 b=9.3480 c=8.3509 alpha=102.69 beta=102.69 gamma=25.93
Element x y z (fractional)
Sm (0.0000, 0.0000, 0.0000)
Y (0.0000, 0.0000, 0.5000)
Y (0.3342, 0.3342, 0.1661)
Y (0.6658, 0.6658, 0.8339)
Th (0.3348, 0.3348, 0.6694)
Th (0.6652, 0.6652, 0.3306)
As (0.1655, 0.1655, 0.5868)
As (0.1680, 0.1680, 0.0793)
As (0.4986, 0.4986, 0.2532)
As (0.5014, 0.5014, 0.7468)
As (0.8320, 0.8320, 0.9207)
As (0.8345, 0.8345, 0.4132)

Computed properties:
ΔH_f (0 K) = -1511 meV per atom
M_tot = 0.0 μB/f.u.
density of states at the Fermi level = 4.0 states/eV/f.u.
calculated volume = 25.91 Å³/atom


(12)
La2TbPr4 after structural relaxation, computed with PBE-GGA.

Unit cell a=7.1225 b=7.1352 c=10.7192 alpha=90.00 beta=89.99 gamma=73.01
Element x y z (fractional)
La (0.0000, 0.0000, 0.0000)
La (0.0000, 0.0000, 0.5000)
La (0.0000, 0.5000, 0.0000)
La (0.5000, 0.0000, 0.0000)
Tb (0.0000, 0.5000, 0.5000)
Tb (0.5000, 0.5000, 0.5000)
Pr (0.2672, 0.6873, 0.7795)
Pr (0.2686, 0.6865, 0.2201)
Pr (0.2747, 0.1899, 0.7095)
Pr (0.2761, 0.1891, 0.2910)
Pr (0.7239, 0.8109, 0.7090)
Pr (0.7253, 0.8101, 0.2905)
Pr (0.7314, 0.3135, 0.7799)
Pr (0.7328, 0.3127, 0.2205)

Computed properties:
ΔH_f (0 K) = 174 meV per atom
M_tot = 0.0 μB/f.u.
energy relative to the lowest polymorph listed for this composition = 166 meV/atom
density of states at the Fermi level = 11.0 states/eV/f.u.
calculated volume = 37.21 Å³/atom


Number 1: final energy -4.87 eV/atom. Number 2: final energy -6.94 eV/atom. Number 3: final energy -9.61 eV/atom. Number 4: final energy -5.39 eV/atom. Number 5: final energy -7.72 eV/atom. Number 6: final energy -4.34 eV/atom. Number 7: final energy -6.58 eV/atom. Number 8: final energy -8.28 eV/atom. Number 9: final energy -4.79 eV/atom. Number 10: final energy -5.58 eV/atom. Number 11: final energy -7.08 eV/atom. Number 12: final energy -4.63 eV/atom.